[1]
Crystalline Ta2CuW at its relaxed geometry. Source: the Alexandria database, functional PBE.

Unit cell a=2.7378 b=2.7378 c=8.7055 alpha=90.00 beta=90.00 gamma=90.00
Closest atoms and distances in Å follow each position.
Space group P4mm (No. 99)
Inequivalent atoms, fractional coordinates:
Ta 0.0000 0.0000 0.0000 [1 per cell]  4 Ta 2.74, 4 Cu 2.81
Ta 0.5000 0.5000 0.2747 [1 per cell]  4 Ta 2.74, 4 W 3.04
Cu 0.5000 0.5000 0.7653 [1 per cell]  4 W 2.73, 4 Cu 2.74, 4 Ta 2.81
W 0.0000 0.0000 0.5436 [1 per cell]  4 Cu 2.73, 4 W 2.74, 4 Ta 3.04

Calculated values
DFT formation energy (eV per formula unit): 0.69
E above lowest polymorph (meV/atom): 140
Crystal system: tetragonal

[2]
Crystalline Na3SrTc at its relaxed geometry. Source: the Alexandria database, functional PBE.

Unit cell a=5.6996 b=5.6996 c=5.6996 alpha=90.00 beta=90.00 gamma=90.00
Closest atoms and distances in Å follow each position.
Space group Pm-3m (No. 221)
Inequivalent atoms, fractional coordinates:
Na 0.0000 0.0000 0.5000 [3 per cell]  2 Tc 2.85
Sr 0.5000 0.5000 0.5000 [1 per cell]  12 Na 4.03
Tc 0.0000 0.0000 0.0000 [1 per cell]  6 Na 2.85

Calculated values
DFT formation energy (eV per formula unit): 4.90
E above lowest polymorph (meV/atom): 0
Crystal system: cubic

[3]
Crystalline Nd3Cu8Pt at its relaxed geometry. Source: the Alexandria database, functional PBE.

Unit cell a=5.1879 b=5.1879 c=26.0277 alpha=90.00 beta=90.00 gamma=120.00
Closest atoms and distances in Å follow each position.
Space group R3m (No. 160, hexagonal axes)
Inequivalent atoms, fractional coordinates:
Nd 0.0000 0.0000 0.0000 [3 per cell]  12 Cu 3.04-3.23, 4 Nd 3.36
Nd 0.0000 0.0000 0.1292 [3 per cell]  12 Cu 2.88-3.15, 3 Pt 3.08
Nd 0.0000 0.0000 0.6085 [3 per cell]  9 Cu 2.93-3.11, 1 Pt 3.08
Cu 0.0000 0.0000 0.3075 [3 per cell]  6 Cu 2.69-2.70
Cu 0.0000 0.0000 0.8085 [3 per cell]  6 Cu 2.56-2.59
Cu 0.0020 0.5010 0.0607 [9 per cell]  6 Cu 2.58-2.70
Cu 0.0086 0.5043 0.5562 [9 per cell]  6 Cu 2.53-2.69
Pt 0.0000 0.0000 0.4902 [3 per cell]  12 Cu 2.91-3.11, 4 Nd 3.08

Calculated values
DFT formation energy (eV per formula unit): -2.36
Crystal system: trigonal

[4]
Crystalline YOs3Pt at its relaxed geometry. Source: the Alexandria database, functional PBE.

Unit cell a=4.7843 b=4.7843 c=4.7843 alpha=90.00 beta=90.00 gamma=90.00
Closest atoms and distances in Å follow each position.
Space group Pm-3m (No. 221)
Inequivalent atoms, fractional coordinates:
Y 0.0000 0.0000 0.0000 [1 per cell]  6 Os 2.39
Os 0.0000 0.0000 0.5000 [3 per cell]  2 Y 2.39
Pt 0.5000 0.5000 0.5000 [1 per cell]  12 Os 3.38

Calculated values
DFT formation energy (eV per formula unit): 15.55
E above lowest polymorph (meV/atom): 1414
Crystal system: cubic

[5]
Crystalline Ce2Zn2Ge at its relaxed geometry. Source: the Alexandria database, functional PBE.

Unit cell a=10.6183 b=4.4659 c=9.8191 alpha=90.00 beta=111.52 gamma=90.00
Closest atoms and distances in Å follow each position.
Space group C2/m (No. 12)
Inequivalent atoms, fractional coordinates:
Ce 0.0885 0.0000 0.3681 [4 per cell]  7 Zn 3.05-3.31, 4 Ge 3.10-3.28
Ce 0.1916 0.0000 0.0535 [4 per cell]  2 Ce 2.93, 6 Zn 3.12-3.27, 2 Ge 3.14
Zn 0.0056 0.5000 0.1349 [4 per cell]  1 Ge 2.59, 1 Zn 2.61
Zn 0.1038 0.5000 0.6227 [4 per cell]  1 Zn 2.60, 2 Ge 2.62
Ge 0.2390 0.0000 0.7054 [4 per cell]  3 Zn 2.59-2.62

Calculated values
DFT formation energy (eV per formula unit): -2.00
E above lowest polymorph (meV/atom): 0
Crystal system: monoclinic

[6]
Crystalline Pr6SiSb2Te3 at its relaxed geometry. Source: the Alexandria database, functional PBE.

Unit cell a=19.7518 b=4.4938 c=9.0821 alpha=90.00 beta=103.68 gamma=90.00
Closest atoms and distances in Å follow each position.
Space group C2/m (No. 12)
Inequivalent atoms, fractional coordinates:
Pr 0.0002 0.0000 0.2266 [4 per cell]  2 Si 3.05, 1 Sb 3.19, 3 Te 3.27-3.35
Pr 0.1556 0.5000 0.0818 [4 per cell]  1 Si 2.99, 2 Sb 3.17, 2 Te 3.24
Pr 0.1676 0.5000 0.5781 [4 per cell]  3 Sb 3.16-3.19, 3 Te 3.22-3.23
Si 0.0000 0.5000 0.0000 [2 per cell]  6 Pr 2.99-3.05
Sb 0.1663 0.0000 0.3330 [4 per cell]  6 Pr 3.16-3.19
Te 0.0000 0.5000 0.5000 [2 per cell]  6 Pr 3.22-3.35
Te 0.1699 0.0000 0.8347 [4 per cell]  6 Pr 3.23-3.35

Calculated values
Formation energy without anion corrections (kJ per mole of atoms): -124.4
Crystal system: monoclinic

[7]
Crystalline BaNaPr at its relaxed geometry. Source: the Alexandria database, functional PBE.

Unit cell a=3.8614 b=3.8614 c=17.5515 alpha=90.00 beta=90.00 gamma=90.00
Closest atoms and distances in Å follow each position.
Space group I4mm (No. 107)
Inequivalent atoms, fractional coordinates:
Ba 0.0000 0.0000 0.0000 [2 per cell]  4 Ba 3.86, 4 Pr 4.08, 4 Na 4.13
Na 0.0000 0.0000 0.3231 [2 per cell]  4 Pr 3.80, 4 Na 3.86, 4 Ba 4.13
Pr 0.0000 0.0000 0.6724 [2 per cell]  4 Na 3.80, 4 Pr 3.86, 4 Ba 4.08

Calculated values
DFT formation energy (eV per formula unit): 0.60
E above lowest polymorph (meV/atom): 129
Crystal system: tetragonal

[8]
Crystalline La2Pr2In3 at its relaxed geometry. Source: the Alexandria database, functional PBE.

Unit cell a=4.0300 b=6.2701 c=8.9427 alpha=91.83 beta=90.03 gamma=108.74
Closest atoms and distances in Å follow each position.
Space group P-1 (No. 2)
Inequivalent atoms, fractional coordinates:
La 0.2127 0.4269 0.1604 [2 per cell]  6 In 3.35-3.74, 3 Pr 3.46-3.60, 2 La 3.63-3.64
Pr 0.0545 0.1101 0.7002 [2 per cell]  7 In 3.30-3.65, 3 La 3.46-3.60
In 0.3378 0.6750 0.5507 [2 per cell]  2 In 3.01, 2 Pr 3.30-3.31, 2 La 3.35
In 0.5000 0.0000 0.0000 [1 per cell]  4 Pr 3.43, 6 La 3.50-3.74

Calculated values
DFT formation energy (eV per formula unit): -2.78
E above lowest polymorph (meV/atom): 0
Crystal system: triclinic

[9]
Crystalline Sr2Al2N at its relaxed geometry. Source: the Alexandria database, functional PBE.

Unit cell a=6.4415 b=6.4415 c=6.4704 alpha=90.00 beta=90.00 gamma=90.00
Closest atoms and distances in Å follow each position.
Space group I4/mmm (No. 139)
Inequivalent atoms, fractional coordinates:
Sr 0.0000 0.5000 0.2500 [4 per cell]  4 Al 3.23, 2 Sr 3.24, 4 N 3.60
Al 0.0000 0.0000 0.2110 [4 per cell]  1 N 1.87
N 0.0000 0.0000 0.5000 [2 per cell]  2 Al 1.87

Calculated values
Formation energy without anion corrections (kJ per mole of atoms): 27.6
E above lowest polymorph (meV/atom): 0
Crystal system: tetragonal

[10]
Crystalline TmFe2Si2B at its relaxed geometry. Source: the Alexandria database, functional PBE.

Unit cell a=3.8670 b=3.8670 c=5.1607 alpha=90.00 beta=90.00 gamma=90.00
Closest atoms and distances in Å follow each position.
Space group P4/mmm (No. 123)
Inequivalent atoms, fractional coordinates:
Tm 0.0000 0.0000 0.0000 [1 per cell]  2 B 2.58
Fe 0.0000 0.5000 0.5000 [2 per cell]  2 B 1.93
Si 0.5000 0.5000 0.2300 [2 per cell]  1 Si 2.37, 4 Fe 2.38
B 0.0000 0.0000 0.5000 [1 per cell]  4 Fe 1.93

Calculated values
Formation energy without anion corrections (kJ per mole of atoms): -56.4
Crystal system: tetragonal

[11]
Crystalline CaTeCl2 at its relaxed geometry. Source: the Alexandria database, functional PBE.

Unit cell a=3.7444 b=3.7444 c=35.7133 alpha=90.00 beta=90.00 gamma=120.00
Closest atoms and distances in Å follow each position.
Space group R-3m (No. 166, hexagonal axes)
Inequivalent atoms, fractional coordinates:
Ca 0.0000 0.0000 0.0000 [3 per cell]  6 Cl 2.68
Te 0.0000 0.0000 0.5000 [3 per cell]  6 Te 3.74
Cl 0.0000 0.0000 0.2887 [6 per cell]  3 Ca 2.68

Calculated values
Formation energy without anion corrections (kJ per mole of atoms): -138.9
E above lowest polymorph (meV/atom): 18
Crystal system: trigonal

[12]
Crystalline CsSmAg2Cl6 at its relaxed geometry. Source: the Alexandria database, functional PBE.

Unit cell a=7.2418 b=7.2418 c=19.8739 alpha=90.00 beta=90.00 gamma=120.00
Closest atoms and distances in Å follow each position.
Space group R3 (No. 146, hexagonal axes)
Inequivalent atoms, fractional coordinates:
Cs 0.0000 0.0000 0.0000 [3 per cell]  6 Cl 3.40-3.66
Sm 0.0000 0.0000 0.4642 [3 per cell]  6 Cl 2.72-2.74
Ag 0.0000 0.0000 0.2688 [3 per cell]  6 Cl 2.77-2.90
Ag 0.0000 0.0000 0.7897 [3 per cell]  6 Cl 2.76-2.87
Cl 0.0025 0.3416 0.8640 [9 per cell]  1 Sm 2.74, 2 Ag 2.77-2.87
Cl 0.0135 0.5500 0.0395 [9 per cell]  1 Sm 2.72, 2 Ag 2.76-2.90

Calculated values
Formation energy without anion corrections (kJ per mole of atoms): -142.8
Crystal system: trigonal

Number 1: DOS(E_F) 1.50 states/eV/cell, theoretical density 15.51 Mg/m³. Number 2: DOS(E_F) 10.81 states/eV/cell, theoretical density 2.28 Mg/m³. Number 3: DOS(E_F) 32.00 states/eV/cell, theoretical density 9.33 Mg/m³. Number 4: DOS(E_F) 10.55 states/eV/cell, theoretical density 12.96 Mg/m³. Number 5: DOS(E_F) 41.37 states/eV/cell, theoretical density 7.42 Mg/m³. Number 6: DOS(E_F) 8.75 states/eV/cell, theoretical density 6.36 Mg/m³. Number 7: DOS(E_F) 8.85 states/eV/cell, theoretical density 3.82 Mg/m³. Number 8: DOS(E_F) 5.57 states/eV/cell, theoretical density 7.02 Mg/m³. Number 9: DOS(E_F) 6.00 states/eV/cell, theoretical density 3.01 Mg/m³. Number 10: DOS(E_F) 2.77 states/eV/cell, theoretical density 7.48 Mg/m³. Number 11: DOS(E_F) 2.30 states/eV/cell, theoretical density 2.74 Mg/m³. Number 12: DOS(E_F) 0.00 states/eV/cell, theoretical density 3.93 Mg/m³.